(1)
## YAgO2 (PBE)

Data for an optimized crystal structure of YAgO2.

```
YAgO2
1.0
3.4544 0.0000 0.0000
1.7272 2.9916 0.0000
1.7272 0.9972 5.8483
Y Ag O
1 1 2
Direct
0.6681 0.6681 0.9957 Y
0.4940 0.4940 0.5179 Ag
0.0674 0.0674 0.7978 O
0.2704 0.2704 0.1887 O
```



(2)
## YAgO (PBE)

Data for an optimized crystal structure of YAgO.

```
YAgO
1.0
3.8776 0.0000 -0.0005
0.0000 3.8776 0.0007
0.0007 -0.0009 7.5607
Y Ag O
2 2 2
Direct
0.2500 0.7500 0.3523 Y
0.7500 0.2500 0.6477 Y
0.2500 0.7500 0.9348 Ag
0.7500 0.2500 0.0652 Ag
0.7500 0.7500 0.5000 O
0.2500 0.2500 0.5000 O
```

D(E_F)   0.629 states/eV/cell



(3)
## YAgO2 (PBE)

Data for an optimized crystal structure of YAgO2.

```
YAgO2
1.0
0.0000 2.9441 2.9441
2.9441 0.0000 2.9441
2.9441 2.9441 0.0000
Y O Ag
1 2 1
Direct
0.0000 0.0000 0.0000 Y
0.2500 0.2500 0.2500 O
0.7500 0.7500 0.7500 O
0.5000 0.5000 0.5000 Ag
```

D(E_F)   0.000 states/eV/cell



(4)
## Y3AgO (PBE)

Data for an optimized crystal structure of Y3AgO.

```
Y3AgO
1.0
-3.5204 2.5858 -1.9107
-2.9712 -1.5339 3.3985
1.2285 3.7002 2.7441
Y O Ag
3 1 1
Direct
0.0000 0.5000 0.0000 Y
0.0000 0.0000 0.5000 Y
0.5000 0.0000 0.0000 Y
0.0000 0.0000 0.0000 O
0.5000 0.5000 0.5000 Ag
```

D(E_F)   4.891 states/eV/cell



(5)
## Y2ZrAgO (PBE)

Data for an optimized crystal structure of Y2ZrAgO.

```
Y2ZrAgO
1.0
-0.4990 3.7917 -2.8317
2.7266 -2.0969 -3.2883
-3.6555 -1.8593 -1.8454
Y O Zr Ag
2 1 1 1
Direct
0.0000 0.5000 0.0000 Y
0.5000 0.0000 0.0000 Y
0.0000 0.0000 0.0000 O
0.0000 0.0000 0.5000 Zr
0.5000 0.5000 0.5000 Ag
```

D(E_F)   2.759 states/eV/cell



(6)
## Zn3AgO (PBE)

Data for an optimized crystal structure of Zn3AgO.

```
Zn3AgO
1.0
-1.8234 4.4464 0.6757
-2.4434 -1.5915 3.8793
3.7758 1.1173 2.8366
Zn O Ag
3 1 1
Direct
0.0000 0.5000 0.0000 Zn
0.0000 0.0000 0.5000 Zn
0.5000 0.0000 0.0000 Zn
0.5000 0.5000 0.5000 O
0.0000 0.0000 0.0000 Ag
```

D(E_F)   5.461 states/eV/cell



| no. | VASP energy (Ry per atom) |
| --- | --- |
| 1 | -0.5048 |
| 2 | -0.4976 |
| 3 | -0.4820 |
| 4 | -0.4903 |
| 5 | -0.5146 |
| 6 | -0.1188 |